Computed, not measured: a relaxed Ce2HoZnN crystal at the GGA-PBE level of DFT.

a b c (Å): 4.843 4.843 4.769
angles (deg): 90.00 90.00 90.00
Element x y z (fractional)
1 Ce 0.000 0.500 0.000
2 Ce 0.500 0.000 0.000
3 Ho 0.000 0.000 0.500
4 Zn 0.500 0.500 0.500
5 N 0.000 0.000 0.000

**N(E_F)**: 1.839 states/eV per atom
**Energy**: -5.8697 eV/atom
**Crystal system**: tetragonal
**Formation energy without anion corrections**: -661 meV per atom